No. 1
Compound: BaZnSe2
Source: Alexandria
Functional: PBE-GGA
Structure: relaxed

Geometry as POSCAR:
```
BaZnSe2
1.0
4.8629 0.0000 0.0000
0.0000 4.3039 0.0000
-0.7897 0.0000 6.6996
Ba Zn Se
1 1 2
Direct
0.0000 0.0000 0.0000
0.7205 0.5000 0.3917
0.5051 0.5000 0.0500
0.9230 0.0000 0.5122
```

Properties
**E_form (uncorrected)**: -1.2269 eV/atom

No. 2
Compound: La4Se2N
Source: Alexandria
Functional: PBE-GGA
Structure: relaxed

Geometry as POSCAR:
```
La4Se2N
1.0
-2.3159 2.3159 10.1305
2.3159 -2.3159 10.1305
2.3159 2.3159 -10.1305
La Se N
4 2 1
Direct
0.0000 0.5000 0.5000
0.1822 0.1822 0.0000
0.5000 0.0000 0.5000
0.8178 0.8178 0.0000
0.3301 0.3301 0.0000
0.6699 0.6699 0.0000
0.5000 0.5000 0.0000
```

Properties
**E_form (uncorrected)**: -1.0263 eV/atom
**Fermi-level density of states**: 5.37 states/eV/f.u.

No. 3
Compound: Cd2PtPb
Source: Alexandria
Functional: PBE-GGA
Structure: relaxed

Geometry as POSCAR:
```
Cd2PtPb
1.0
-2.2219 2.2219 4.3645
2.2219 -2.2219 4.3645
2.2219 2.2219 -4.3645
Cd Pt Pb
2 1 1
Direct
0.0000 0.0000 0.0000
0.7500 0.2500 0.5000
0.5000 0.5000 0.0000
0.2500 0.7500 0.5000
```

Properties
**Fermi-level density of states**: 1.19 states/eV/f.u.
**Energy of formation**: -0.009 eV/atom

No. 4
Compound: ZrScTe2
Source: Alexandria
Functional: PBE-GGA
Structure: relaxed

Geometry as POSCAR:
```
ZrScTe2
1.0
1.9028 1.0986 9.5329
-1.9028 1.0986 9.5329
0.0000 -2.1971 9.5329
Zr Sc Te
1 1 2
Direct
0.0000 0.0000 0.0000
0.5000 0.5000 0.5000
0.3999 0.3999 0.3999
0.6001 0.6001 0.6001
```

Properties
**E_form (uncorrected)**: -0.5198 eV/atom
**Fermi-level density of states**: 5.65 states/eV/f.u.

No. 5
Compound: PmCdPPt
Source: Alexandria
Functional: PBE-GGA
Structure: relaxed

Geometry as POSCAR:
```
PmCdPPt
1.0
0.0000 3.4586 3.4586
3.4586 0.0000 3.4586
3.4586 3.4586 0.0000
Pm Cd P Pt
1 1 1 1
Direct
0.0000 0.0000 0.0000
0.5000 0.5000 0.5000
0.7500 0.7500 0.7500
0.2500 0.2500 0.2500
```

Properties
**Fermi-level density of states**: 0.79 states/eV/f.u.
**Energy of formation**: -0.574 eV/atom

No. 6
Compound: La12Pm2Pr5
Source: Alexandria
Functional: PBE-GGA
Structure: relaxed

Geometry as POSCAR:
```
La12Pm2Pr5
1.0
6.5155 0.0000 0.0000
0.6807 9.7741 0.0000
1.4877 4.2399 10.8971
La Pm Pr
12 2 5
Direct
0.0241 0.4486 0.3613
0.2352 0.1665 0.6082
0.2413 0.5594 0.0423
0.2437 0.9107 0.4678
0.2968 0.3288 0.8635
0.3736 0.9473 0.9002
0.6264 0.0527 0.0998
0.7032 0.6712 0.1365
0.7563 0.0893 0.5322
0.7587 0.4406 0.9577
0.7648 0.8335 0.3918
0.9759 0.5514 0.6387
0.1969 0.8092 0.2084
0.8031 0.1908 0.7916
0.0552 0.1880 0.1908
0.4856 0.7124 0.7204
0.5000 0.5000 0.5000
0.5144 0.2876 0.2796
0.9448 0.8120 0.8092
```

Properties
**Fermi-level density of states**: 29.90 states/eV/f.u.
**Energy of formation**: 0.073 eV/atom

No. 7
Compound: Nd2ErNi
Source: Alexandria
Functional: PBE-GGA
Structure: relaxed

Geometry as POSCAR:
```
Nd2ErNi
1.0
3.5722 0.0000 0.0000
0.0000 3.5722 0.0000
0.0000 0.0000 8.6123
Nd Er Ni
2 1 1
Direct
0.0000 0.0000 0.1938
0.0000 0.0000 0.8062
0.5000 0.5000 0.5000
0.5000 0.5000 0.0000
```

Properties
**Fermi-level density of states**: 6.58 states/eV/f.u.
**Energy of formation**: -0.057 eV/atom

No. 8
Compound: Sr2Au
Source: Alexandria
Functional: PBE-GGA
Structure: relaxed

Geometry as POSCAR:
```
Sr2Au
1.0
1.9697 -10.4126 0.0000
1.9697 10.4126 0.0000
0.0000 0.0000 5.4865
Sr Au
4 2
Direct
0.0620 0.9380 0.7500
0.1917 0.8083 0.2500
0.8083 0.1917 0.7500
0.9380 0.0620 0.2500
0.4305 0.5695 0.7500
0.5695 0.4305 0.2500
```

Properties
**Fermi-level density of states**: 3.14 states/eV/f.u.
**Energy of formation**: -0.460 eV/atom

No. 9
Compound: Ba2Be
Source: Alexandria
Functional: PBE-GGA
Structure: relaxed

Geometry as POSCAR:
```
Ba2Be
1.0
0.0000 4.0045 4.0045
4.0045 0.0000 4.0045
4.0045 4.0045 0.0000
Ba Be
2 1
Direct
0.2500 0.2500 0.2500
0.7500 0.7500 0.7500
0.0000 0.0000 0.0000
```

Properties
**Fermi-level density of states**: 5.42 states/eV/f.u.
**Energy of formation**: 0.477 eV/atom

No. 10
Compound: CdIn
Source: Alexandria
Functional: PBE-GGA
Structure: relaxed

Geometry as POSCAR:
```
CdIn
1.0
3.9416 0.0000 0.0000
0.0000 3.9416 0.0000
0.0000 0.0000 6.5592
Cd In
2 2
Direct
0.2500 0.2500 0.1162
0.7500 0.7500 0.8838
0.2500 0.2500 0.6298
0.7500 0.7500 0.3702
```

Properties
**Fermi-level density of states**: 0.44 states/eV/f.u.
**Energy of formation**: 0.036 eV/atom

No. 11
Compound: SrCo2P
Source: Alexandria
Functional: PBE-GGA
Structure: relaxed

Geometry as POSCAR:
```
SrCo2P
1.0
-1.9865 2.8581 3.5501
1.9865 -2.8581 3.5501
1.9865 2.8581 -3.5501
Sr Co P
1 2 1
Direct
0.0000 0.0000 0.0000
0.4674 0.4674 0.0000
0.6338 0.1338 0.5000
0.3223 0.8223 0.5000
```

Properties
**Fermi-level density of states**: 2.11 states/eV/f.u.
**Energy of formation**: 0.066 eV/atom

No. 12
Compound: Pm2Ga3Co
Source: Alexandria
Functional: PBE-GGA
Structure: relaxed

Geometry as POSCAR:
```
Pm2Ga3Co
1.0
3.8609 0.0000 0.0000
0.0000 4.3094 0.0000
0.0000 0.0000 7.5773
Pm Ga Co
2 3 1
Direct
0.0000 0.0000 0.0000
0.0000 0.5000 0.4640
0.5000 0.0000 0.6314
0.5000 0.5000 0.1529
0.5000 0.5000 0.8122
0.5000 0.0000 0.3043
```

Properties
**Fermi-level density of states**: 5.39 states/eV/f.u.
**Energy of formation**: -0.523 eV/atom

Q: Which M_tot values were calculated for the entries above? A: 0.00, 0.00, 0.00, 0.00, 0.00, 0.00, 0.00, 0.00, 0.00, 0.00, 2.76, 0.01, in μB/f.u..
Q: Which electronic total energy values were calculated for the entries above? A: -3.77, -6.03, -2.90, -5.81, -4.85, -4.80, -5.03, -2.67, -2.05, -1.79, -5.26, -4.80, in eV per atom.